# 1
Pr6GaNi2Cl3 | PBE | optimized geometry

Its crystal system is monoclinic. As for the space-group type: C2/m. Its uncorrected formation energy is -918 meV/atom. Its spin magnetization is 0.00 μB/f.u.

Lattice parameters (Å, degrees): 4.029 8.868 9.696 105.85 101.99 90.00
Sites, in units of the cell vectors:
Pr1 0.336 0.886 0.672
Pr2 0.676 0.560 0.352
Pr3 0.664 0.114 0.328
Pr4 0.008 0.253 0.017
Pr5 0.992 0.747 0.983
Pr6 0.324 0.440 0.648
Ga1 0.500 0.000 0.000
Ni1 0.833 0.662 0.666
Ni2 0.167 0.338 0.334
Cl1 0.500 0.500 0.000
Cl2 0.837 0.164 0.674
Cl3 0.163 0.836 0.326

# 2
Re3HgIr | PBE | optimized geometry

Its crystal system is cubic. As for the space-group type: Pm-3m. The calculation puts the energy above the lowest structure with this stoichiometry at 0 meV per atom. The calculation puts the energy of formation at 2.2049 eV per atom. Its spin magnetization is 1.47 μB/f.u.

Lattice parameters (Å, degrees): 4.748 4.748 4.748 90.00 90.00 90.00
Last column: magnetic moment on the atom in μB.
Sites, in units of the cell vectors:
Re1 0.000 0.500 0.000  0.45
Re2 0.000 0.000 0.500  0.35
Re3 0.500 0.000 0.000  0.58
Ir1 0.000 0.000 0.000  -0.04
Hg1 0.500 0.500 0.500  -0.01

- Which value of spin magnetization does entry 1 give?
  0.00 μB/f.u.

- The highest spin magnetization belongs to which entry?
  Re3HgIr

- Among the records above, which one has the lowest spin magnetization?
  Pr6GaNi2Cl3

- What is the spin magnetization in the first record?
  0.00 μB/f.u.